Compound: TiNO2
Source: Alexandria via LeMat-Bulk
Functional: PBEsol
Structure: relaxed

## Properties
The calculation puts the total magnetization at 0.7 μB per cell. For the uncorrected formation energy, the calculation gives 0.67 eV/atom. Its density is 3.78 g/cm3. The value obtained for the total energy is -0.4534 Ry/atom.

The structure in extended XYZ format:
```
4
Lattice="-1.018 0.614 2.606 -0.891 -2.108 1.723 4.707 -0.961 3.640" Properties=species:S:1:pos:R:3 pbc="T T T"
O -0.158 -1.646 5.049
N 1.399 -1.228 3.984
O 2.956 -0.809 2.920
Ti 0.000 0.000 0.000
```


Compound: KCrSe2
Source: Alexandria via LeMat-Bulk
Functional: PBEsol
Structure: relaxed

## Properties
The calculation puts the total magnetization at 3.0 μB per cell. For the uncorrected formation energy, the calculation gives -0.38 eV/atom. Its density is 4.09 g/cm3. The value obtained for the total energy is -0.3782 Ry/atom.

The structure in extended XYZ format:
```
4
Lattice="-2.312 -0.987 2.526 0.411 -3.408 -0.956 5.983 -0.734 5.188" Properties=species:S:1:pos:R:3 pbc="T T T"
K 3.762 -2.775 4.871
Se 1.348 -2.479 2.778
Cr 1.847 -0.226 1.602
Se 0.118 -0.014 0.102
```


Compound: Ca2OsAu
Source: Alexandria via LeMat-Bulk
Functional: PBEsol
Structure: relaxed

## Properties
The calculation puts the total magnetization at 0.0 μB per cell. Its density is 9.48 g/cm3. The value obtained for the total energy is -0.3668 Ry/atom. The formation energy is 111 meV per atom.

The structure in extended XYZ format:
```
4
Lattice="2.933 0.000 0.000 0.000 5.281 0.000 0.000 0.000 5.281" Properties=species:S:1:pos:R:3 pbc="T T T"
Au 1.467 0.000 0.000
Ca 0.000 2.641 0.000
Ca 0.000 0.000 2.641
Os 1.467 2.641 2.641
```


Compound: ZrCoI2O
Source: Alexandria via LeMat-Bulk
Functional: PBEsol
Structure: relaxed

## Properties
The calculation puts the total magnetization at 2.5 μB per cell. For the uncorrected formation energy, the calculation gives -0.37 eV/atom. Its density is 5.47 g/cm3. The value obtained for the total energy is -0.4036 Ry/atom.

The structure in extended XYZ format:
```
5
Lattice="-2.367 -0.112 3.126 1.623 -5.369 1.036 4.249 1.919 3.286" Properties=species:S:1:pos:R:3 pbc="T T T"
I 0.811 -2.684 0.518
Co 1.753 -1.781 3.724
O -1.183 -0.056 1.563
Zr 0.000 0.000 0.000
I 2.124 0.959 1.643
```


Compound: K4Br2O
Source: Alexandria via LeMat-Bulk
Functional: PBEsol
Structure: relaxed

## Properties
The calculation puts the total magnetization at 0.0 μB per cell. For the uncorrected formation energy, the calculation gives -1.45 eV/atom. Its density is 2.56 g/cm3. The value obtained for the total energy is -0.2485 Ry/atom.

The structure in extended XYZ format:
```
7
Lattice="5.127 0.000 0.000 0.000 5.127 0.000 -2.563 -2.563 8.193" Properties=species:S:1:pos:R:3 pbc="T T T"
K 0.000 0.000 2.538
O 0.000 0.000 0.000
K 0.000 2.563 0.000
Br 0.000 0.000 5.836
K 2.563 2.563 5.655
Br 2.563 2.563 2.357
K 2.563 0.000 0.000
```


Compound: ScTlAs2
Source: Alexandria via LeMat-Bulk
Functional: PBEsol
Structure: relaxed

## Properties
The calculation puts the total magnetization at 0.0 μB per cell. Its energy relative to the lowest polymorph listed for this composition is 0.0559 eV per atom. Its density is 7.24 g/cm3. The value obtained for the total energy is -0.3872 Ry/atom. The formation energy is -406 meV per atom.

The structure in extended XYZ format:
```
4
Lattice="-0.886 2.898 2.542 -2.020 -3.404 0.099 6.048 -1.237 3.517" Properties=species:S:1:pos:R:3 pbc="T T T"
As 0.414 -1.374 1.711
As 2.728 -0.369 4.448
Sc 3.024 -0.619 1.759
Tl -0.443 1.449 1.271
```


Compound: MnSi2Te
Source: Alexandria via LeMat-Bulk
Functional: PBEsol
Structure: relaxed

## Properties
The calculation puts the total magnetization at 3.5 μB per cell. For the uncorrected formation energy, the calculation gives 0.36 eV/atom. Its density is 5.59 g/cm3. The value obtained for the total energy is -0.4291 Ry/atom.

The structure in extended XYZ format:
```
4
Lattice="-3.205 -1.032 1.735 1.908 -2.934 1.448 1.890 4.728 2.334" Properties=species:S:1:pos:R:3 pbc="T T T"
Si 0.945 2.364 1.167
Si 0.297 0.381 2.759
Mn 0.954 -1.467 0.724
Te -1.603 -0.516 0.868
```


Compound: ReAs2Cl
Source: Alexandria via LeMat-Bulk
Functional: PBEsol
Structure: relaxed

## Properties
The calculation puts the total magnetization at 0.0 μB per cell. For the uncorrected formation energy, the calculation gives 0.07 eV/atom. Its energy relative to the lowest polymorph listed for this composition is 0.0000 eV per atom. Its density is 7.35 g/cm3. The value obtained for the total energy is -0.4646 Ry/atom.

The structure in extended XYZ format:
```
4
Lattice="-1.327 -2.406 1.422 2.498 -3.153 0.361 2.623 0.716 7.024" Properties=species:S:1:pos:R:3 pbc="T T T"
As 2.151 -4.851 3.893
Re 1.897 -2.421 4.403
As 1.644 0.009 4.914
Cl 0.000 0.000 0.000
```


Q: Which value of density does entry 1 give?
A: 3.78 g/cm3


Q: Which value of density does entry 8 give?
A: 7.35 g/cm3


Q: density of number 8 (ReAs2Cl)?
A: 7.35 g/cm3